[1]
The following is a DFT calculation (GGA-PBE) of an optimized crystal structure of Sm3Dy3Tm5.

Cell and atoms, written as extended XYZ:
```
11
Lattice="9.596 0.000 0.000 -4.798 8.311 0.000 0.000 0.000 5.458" Properties=species:S:1:pos:R:3 pbc="T T T"
Sm -3.032 5.251 0.000
Sm 1.766 3.059 0.000
Sm 6.064 0.000 0.000
Dy -2.148 3.721 2.729
Dy 4.297 0.000 2.729
Dy 2.650 4.590 2.729
Tm -1.283 2.223 0.000
Tm 2.566 0.000 0.000
Tm 0.000 5.540 0.000
Tm 4.798 2.770 0.000
Tm 3.515 6.088 0.000
```

Energy relative to the elements   825 meV/atom
Density   6.80 g/cm3
Calculated total energy   -3.750 eV/atom

=====

[2]
The following is a DFT calculation (GGA-PBE) of an optimized crystal structure of BiPdSe2N.

Cell and atoms, written as extended XYZ:
```
5
Lattice="5.235 0.000 0.000 0.000 5.235 0.000 0.000 0.000 3.782" Properties=species:S:1:pos:R:3 pbc="T T T"
Bi 0.000 0.000 0.000
Pd 2.618 2.618 1.891
Se 0.000 2.618 1.891
Se 2.618 0.000 1.891
N 2.618 2.618 0.000
```

E_form (uncorrected)   489.7 meV/atom
Energy above the most stable polymorph in this dataset   0.000 eV/atom
Density   7.81 g/cm3
Calculated total energy   -4.384 eV/atom

=====

[3]
The following is a DFT calculation (GGA-PBE) of an optimized crystal structure of Tb12Sm5Ho2.

Cell and atoms, written as extended XYZ:
```
19
Lattice="7.822 -4.631 0.000 7.822 4.631 0.000 -0.367 0.000 8.655" Properties=species:S:1:pos:R:3 pbc="T T T"
Tb 0.762 0.000 2.930
Tb 5.666 2.848 2.823
Tb 5.233 1.665 6.583
Tb 9.611 2.848 5.831
Tb 6.645 0.000 1.080
Tb 10.044 1.665 2.071
Tb 5.233 -1.665 6.583
Tb 8.631 0.000 7.575
Tb 5.666 -2.848 2.823
Tb 10.044 -1.665 2.071
Tb 9.611 -2.848 5.831
Tb 14.514 0.000 5.724
Sm 3.236 0.000 0.213
Sm 4.047 0.000 3.718
Sm 7.638 0.000 4.327
Sm 11.230 0.000 4.937
Sm 12.040 0.000 8.441
Ho 7.822 3.040 0.000
Ho 7.822 -3.040 0.000
```

Energy relative to the elements   121 meV/atom
Energy above the most stable polymorph in this dataset   0.104 eV/atom
Density   7.92 g/cm3
Calculated total energy   -4.527 eV/atom

=====

[4]
The following is a DFT calculation (GGA-PBE) of an optimized crystal structure of YHoTh2.

Cell and atoms, written as extended XYZ:
```
4
Lattice="5.021 0.000 0.000 0.000 5.021 0.000 0.000 0.000 5.083" Properties=species:S:1:pos:R:3 pbc="T T T"
Y 0.000 0.000 0.000
Ho 2.510 2.510 0.000
Th 0.000 2.510 2.541
Th 2.510 0.000 2.541
```

Energy relative to the elements   48 meV/atom
Energy above the most stable polymorph in this dataset   0.017 eV/atom
Density   9.30 g/cm3
Calculated total energy   -6.422 eV/atom

=====

Which of these has the lowest calculated total energy? YHoTh2